First-principles (GGA+U) data for a relaxed CaMn5O6 crystal, as listed in Alexandria.

It has space group C2/m (No. 12), with a = 5.591 Å, b = 9.695 Å, c = 5.586 Å, α = 90.00°, β = 109.37° and γ = 90.00°. The inequivalent atoms are Ca at (0.000, 0.000, 0.000), Mn at (0.000, 0.169, 0.500), Mn at (0.000, 0.333, 0.000), Mn at (0.000, 0.500, 0.500), O at (0.243, 0.500, 0.258) and O at (0.244, 0.328, 0.748).

The value obtained for the total energy is -7.5911 eV per atom. The total magnetic moment is 25.000 μB per formula unit. As for the crystal system: monoclinic.